1.
Ba3DyB3O9: optimized geometry, GGA-PBEsol.

Values from the calculation:
- Uncorrected formation energy: -2936 meV/atom
- Energy: -7.918 eV per atom
- Size of the total moment: 0.00 μB per atom

Cell lengths 9.4157, 9.4157, 17.5336 Å; angles 90.00, 90.00, 120.00 degrees
Space group P6_3cm (No. 185)
Symmetry-distinct sites (fractional):
Ba1 0.0000 0.0000 0.0000 [2 per cell]
Ba2 0.0000 0.3198 0.3489 [6 per cell]
Ba3 0.0000 0.3462 0.5882 [6 per cell]
Ba4 0.3333 0.6667 0.4423 [4 per cell]
Dy1 0.0000 0.0000 0.2161 [2 per cell]
Dy2 0.3333 0.6667 0.2211 [4 per cell]
B1 0.0000 0.3258 0.1425 [6 per cell]
B2 0.0000 0.3328 0.9693 [6 per cell]
B3 0.0000 0.3407 0.7994 [6 per cell]
O1 0.0000 0.1799 0.1328 [6 per cell]
O2 0.0000 0.1944 0.7887 [6 per cell]
O3 0.0000 0.4806 0.9696 [6 per cell]
O4 0.1468 0.4725 0.1477 [12 per cell]
O5 0.1478 0.3329 0.9689 [12 per cell]
O6 0.1475 0.4872 0.8045 [12 per cell]

2.
BaBF2: optimized geometry, GGA-PBEsol.

Values from the calculation:
- Uncorrected formation energy: -1387 meV/atom
- Energy: -4.642 eV per atom
- Size of the total moment: 0.00 μB per atom

Cell lengths 4.3673, 4.3673, 16.1744 Å; angles 90.00, 90.00, 120.00 degrees
Space group R-3m (No. 166, hexagonal axes)
Symmetry-distinct sites (fractional):
Ba1 0.0000 0.0000 0.0000 [3 per cell]
B1 0.0000 0.0000 0.5000 [3 per cell]
F1 0.0000 0.0000 0.3769 [6 per cell]

3.
BaBNF2: optimized geometry, GGA-PBEsol.

Values from the calculation:
- Uncorrected formation energy: 152 meV/atom
- Energy: -4.158 eV per atom
- Size of the total moment: 0.40 μB per atom

Cell lengths 4.913, 4.913, 5.511 Å; angles 90.00, 90.00, 90.00 degrees
Space group P4/mmm (No. 123)
Symmetry-distinct sites (fractional):
Ba1 0.000 0.000 0.000 [1 per cell]
B1 0.500 0.500 0.500 [1 per cell]
N1 0.000 0.000 0.500 [1 per cell]
F1 0.000 0.500 0.000 [2 per cell]

4.
Ba3B6O11F2: optimized geometry, GGA-PBEsol.

Values from the calculation:
- Uncorrected formation energy: -2861 meV/atom
- Energy: -7.868 eV per atom
- Size of the total moment: 0.00 μB per atom

Cell lengths 6.566, 8.520, 9.691 Å; angles 90.00, 101.30, 90.00 degrees
Space group P2_1 (No. 4)
Symmetry-distinct sites (fractional):
Ba1 0.006 0.000 0.239 [2 per cell]
Ba2 0.437 0.354 0.458 [2 per cell]
Ba3 0.437 0.847 0.963 [2 per cell]
B1 0.006 0.680 0.452 [2 per cell]
B2 0.079 0.372 0.136 [2 per cell]
B3 0.084 0.147 0.934 [2 per cell]
B4 0.093 0.904 0.634 [2 per cell]
B5 0.288 0.619 0.203 [2 per cell]
B6 0.311 0.141 0.733 [2 per cell]
O1 0.006 0.323 0.265 [2 per cell]
O2 0.054 0.523 0.449 [2 per cell]
O3 0.059 0.977 0.959 [2 per cell]
O4 0.114 0.709 0.158 [2 per cell]
O5 0.123 0.226 0.070 [2 per cell]
O6 0.144 0.780 0.535 [2 per cell]
O7 0.176 0.240 0.624 [2 per cell]
O8 0.264 0.179 0.870 [2 per cell]
O9 0.284 0.459 0.188 [2 per cell]
O10 0.290 0.976 0.696 [2 per cell]
O11 0.470 0.695 0.264 [2 per cell]
F1 0.357 0.564 0.888 [2 per cell]
F2 0.368 0.067 0.387 [2 per cell]

5.
BaBOF3: optimized geometry, GGA-PBEsol.

Values from the calculation:
- Uncorrected formation energy: -3207 meV/atom
- Energy: -6.573 eV per atom
- Size of the total moment: 0.00 μB per atom

Cell lengths 9.209, 5.064, 6.809 Å; angles 90.00, 90.00, 90.00 degrees
Space group Pnma (No. 62)
Symmetry-distinct sites (fractional):
Ba1 0.192 0.250 0.174 [4 per cell]
B1 0.078 0.250 0.676 [4 per cell]
O1 0.199 0.250 0.563 [4 per cell]
F1 0.064 0.750 0.415 [4 per cell]
F2 0.070 0.023 0.817 [8 per cell]

6.
Ba3Sr4B3O9F5: optimized geometry, GGA-PBEsol.

Values from the calculation:
- Uncorrected formation energy: -3187 meV/atom
- Energy: -7.009 eV per atom
- Size of the total moment: 0.00 μB per atom

Cell lengths 10.6831, 10.6831, 7.0279 Å; angles 90.00, 90.00, 120.00 degrees
Space group P6_3mc (No. 186)
Symmetry-distinct sites (fractional):
Ba1 0.1412 0.2824 0.0000 [6 per cell]
Sr1 0.0718 0.5359 0.6570 [6 per cell]
Sr2 0.3333 0.6667 0.2295 [2 per cell]
B1 0.1891 0.3781 0.4376 [6 per cell]
O1 0.0897 0.4021 0.3425 [12 per cell]
O2 0.1660 0.3320 0.6250 [6 per cell]
F1 0.0000 0.0000 0.4075 [2 per cell]
F2 0.1555 0.5777 0.9823 [6 per cell]
F3 0.3333 0.6667 0.5769 [2 per cell]

7.
Ba5Zn2B4O12F2: optimized geometry, GGA-PBEsol.

Values from the calculation:
- Uncorrected formation energy: -2690 meV/atom
- Energy: -7.043 eV per atom
- Size of the total moment: 0.00 μB per atom

Cell lengths 25.728, 7.267, 7.987 Å; angles 90.00, 105.52, 90.00 degrees
Space group C2/c (No. 15)
Symmetry-distinct sites (fractional):
Ba1 0.000 0.069 0.250 [4 per cell]
Ba2 0.075 0.389 0.664 [8 per cell]
Ba3 0.168 0.092 0.406 [8 per cell]
Zn1 0.191 0.346 0.015 [8 per cell]
B1 0.076 0.193 0.030 [8 per cell]
B2 0.225 0.347 0.722 [8 per cell]
O1 0.024 0.251 0.960 [8 per cell]
O2 0.088 0.016 0.092 [8 per cell]
O3 0.116 0.321 0.024 [8 per cell]
O4 0.182 0.273 0.770 [8 per cell]
O5 0.218 0.409 0.553 [8 per cell]
O6 0.224 0.144 0.165 [8 per cell]
F1 0.078 0.311 0.349 [8 per cell]

8.
BaBPF10: optimized geometry, GGA-PBEsol.

Values from the calculation:
- Uncorrected formation energy: -3100 meV/atom
- Energy: -5.733 eV per atom
- Size of the total moment: 0.00 μB per atom

Cell lengths 10.3802, 10.3802, 6.1676 Å; angles 90.00, 90.00, 120.00 degrees
Space group P-62m (No. 189)
Symmetry-distinct sites (fractional):
Ba1 0.0000 0.0000 0.0000 [1 per cell]
Ba2 0.3333 0.6667 0.5000 [2 per cell]
B1 0.0000 0.7519 0.5000 [3 per cell]
P1 0.0000 0.4389 0.0000 [3 per cell]
F1 0.0000 0.2823 0.0000 [3 per cell]
F2 0.0000 0.5929 0.0000 [3 per cell]
F3 0.0000 0.8295 0.3134 [6 per cell]
F4 0.1277 0.7373 0.5000 [6 per cell]
F5 0.1288 0.5017 0.1874 [12 per cell]

9.
Ba2BSbF: optimized geometry, GGA-PBEsol.

Values from the calculation:
- Uncorrected formation energy: 103 meV/atom
- Energy: -3.456 eV per atom
- Size of the total moment: 0.42 μB per atom

Cell lengths 6.546, 6.546, 4.454 Å; angles 90.00, 90.00, 90.00 degrees
Space group P4/mmm (No. 123)
Symmetry-distinct sites (fractional):
Ba1 0.000 0.500 0.000 [2 per cell]
B1 0.000 0.000 0.500 [1 per cell]
Sb1 0.500 0.500 0.000 [1 per cell]
F1 0.500 0.500 0.500 [1 per cell]

10.
Ba2FeBN: optimized geometry, GGA-PBEsol.

Values from the calculation:
- Uncorrected formation energy: 601 meV/atom
- Energy: -5.160 eV per atom
- Size of the total moment: 0.36 μB per atom

Cell lengths 5.913, 5.913, 2.918 Å; angles 90.00, 90.00, 90.00 degrees
Space group P4/mmm (No. 123)
Symmetry-distinct sites (fractional):
Ba1 0.000 0.500 0.000 [2 per cell]
Fe1 0.000 0.000 0.500 [1 per cell]
B1 0.500 0.500 0.000 [1 per cell]
N1 0.500 0.500 0.500 [1 per cell]

11.
BaFeBP2: optimized geometry, GGA-PBEsol.

Values from the calculation:
- Energy: -5.200 eV per atom
- Size of the total moment: 0.01 μB per atom
- Energy of formation: 742 meV/atom

Cell lengths 4.202, 4.202, 5.832 Å; angles 90.00, 90.00, 90.00 degrees
Space group P4/mmm (No. 123)
Symmetry-distinct sites (fractional):
Ba1 0.000 0.000 0.000 [1 per cell]
Fe1 0.000 0.000 0.500 [1 per cell]
B1 0.500 0.500 0.000 [1 per cell]
P1 0.000 0.500 0.500 [2 per cell]

Copy entry 4 word for word.
Ba3B6O11F2: optimized geometry, GGA-PBEsol.

Values from the calculation:
- Uncorrected formation energy: -2861 meV/atom
- Energy: -7.868 eV per atom
- Size of the total moment: 0.00 μB per atom

Cell lengths 6.566, 8.520, 9.691 Å; angles 90.00, 101.30, 90.00 degrees
Space group P2_1 (No. 4)
Symmetry-distinct sites (fractional):
Ba1 0.006 0.000 0.239 [2 per cell]
Ba2 0.437 0.354 0.458 [2 per cell]
Ba3 0.437 0.847 0.963 [2 per cell]
B1 0.006 0.680 0.452 [2 per cell]
B2 0.079 0.372 0.136 [2 per cell]
B3 0.084 0.147 0.934 [2 per cell]
B4 0.093 0.904 0.634 [2 per cell]
B5 0.288 0.619 0.203 [2 per cell]
B6 0.311 0.141 0.733 [2 per cell]
O1 0.006 0.323 0.265 [2 per cell]
O2 0.054 0.523 0.449 [2 per cell]
O3 0.059 0.977 0.959 [2 per cell]
O4 0.114 0.709 0.158 [2 per cell]
O5 0.123 0.226 0.070 [2 per cell]
O6 0.144 0.780 0.535 [2 per cell]
O7 0.176 0.240 0.624 [2 per cell]
O8 0.264 0.179 0.870 [2 per cell]
O9 0.284 0.459 0.188 [2 per cell]
O10 0.290 0.976 0.696 [2 per cell]
O11 0.470 0.695 0.264 [2 per cell]
F1 0.357 0.564 0.888 [2 per cell]
F2 0.368 0.067 0.387 [2 per cell]